Record 1
First-principles (PBE) data for a relaxed TcRhW2 crystal, as listed in the Alexandria database.

Results
Final energy: -10.746 eV/atom
D(E_F): 4.64 states/eV/cell
DFT formation energy: 160 meV per atom
Polymorph energy (0 for the lowest one): 0.152 eV per atom

abc: 3.298 3.298 5.668
angles: 90.00 90.00 90.00
Element x y z (fractional)
1 W 0.000 0.000 0.499
2 W 0.000 0.000 0.001
3 Rh 0.500 0.500 0.250
4 Tc 0.500 0.500 0.750

Record 2
First-principles (PBE) data for a relaxed AsOsCBr2 crystal, as listed in the Alexandria database.

Results
Final energy: -3.833 eV/atom
D(E_F): 5.89 states/eV/cell
Raw formation energy: 42.82 kcal/mol of atoms
Polymorph energy (0 for the lowest one): 0.000 eV per atom

abc: 5.194 5.194 4.668
angles: 90.00 90.00 90.00
Each line ends with the local moment (μB).
Element x y z (fractional)
1 Os 0.000 0.000 0.000  -0.28
2 Br 0.000 0.500 0.000  -0.06
3 Br 0.500 0.000 0.000  -0.06
4 C 0.500 0.500 0.500  0.90
5 As 0.000 0.000 0.500  -0.04

Record 3
First-principles (PBE) data for a relaxed BaZnNi crystal, as listed in the Alexandria database.

Results
Final energy: -2.349 eV/atom
D(E_F): 5.71 states/eV/cell
DFT formation energy: 644 meV per atom

abc: 5.181 5.181 5.181
angles: 60.00 60.00 60.00
Each line ends with the local moment (μB).
Element x y z (fractional)
1 Ni 0.000 0.000 0.000  0.24
2 Zn 0.500 0.500 0.500  0.00
3 Ba 0.750 0.750 0.750  -0.02

Record 4
First-principles (PBE) data for a relaxed GaPO crystal, as listed in the Alexandria database.

Results
Final energy: -5.418 eV/atom
Raw formation energy: -21.98 kcal/mol of atoms
Polymorph energy (0 for the lowest one): 0.052 eV per atom

abc: 4.217 4.282 7.022
angles: 92.71 105.05 118.73
Element x y z (fractional)
1 Ga 0.637 0.237 0.363
2 Ga 0.933 0.425 0.734
3 O 0.108 0.846 0.309
4 O 0.420 0.451 0.175
5 P 0.745 0.843 0.173
6 P 0.662 0.802 0.843